Computed, not measured: a geometry-optimized Na3VSe structure at the GGA-PBE level of DFT.

Cell lengths 5.599, 5.599, 5.599 Å; angles 90.00, 90.00, 90.00 degrees
Space group Pm-3m (No. 221)
Symmetry-distinct sites (fractional):
Na  0.000  0.000  0.500 (multiplicity 3)
V  0.000  0.000  0.000 (multiplicity 1)
Se  0.500  0.500  0.500 (multiplicity 1)

Results
Formation energy without anion corrections   803 meV per atom
E_tot   -2.509 eV/atom
Size of the total moment   4.170 μB/f.u.